The following is a DFT calculation (PBE with a Hubbard U) of a geometry-optimized Cs2CoBrF6 structure.

a = 6.505 Å, b = 6.505 Å, c = 6.505 Å
α = 115.28°, β = 115.28°, γ = 98.38°
Sites, in units of the cell vectors:
Cs: 0.250 0.750 0.500
Cs: 0.750 0.250 0.500
Co: 0.000 0.000 0.000
Br: 0.500 0.500 0.000
F: 0.186 0.186 0.371
F: 0.186 0.814 0.000
F: 0.265 0.265 0.000
F: 0.735 0.735 0.000
F: 0.814 0.186 0.000
F: 0.814 0.814 0.629

Properties
- total energy (eV/atom) = -3.9945
- D(E_F) (states/eV/f.u.) = 0.00
- size of the total moment (μB per cell) = 2.000
- SG = I4/mmm